Entry 1:
Material: LiLuTeO
Method: DFT, PBE
State: optimized geometry

Properties
space group = P4/nmm, No. 129
total magnetic moment = 0.000 μB per atom
energy relative to the lowest polymorph listed for this composition = 0.0000 eV/atom

The structure in POSCAR format:
```
LiLuTeO
1.0
3.967 0.000 0.000
0.000 3.967 0.000
0.000 0.000 9.291
Li Lu Te O
2 2 2 2
Direct
0.250 0.750 0.000 Li
0.750 0.250 0.000 Li
0.250 0.250 0.393 Lu
0.750 0.750 0.607 Lu
0.250 0.250 0.805 Te
0.750 0.750 0.195 Te
0.250 0.750 0.500 O
0.750 0.250 0.500 O
```

***

Entry 2:
Material: LiLuTeO
Method: DFT, PBE
State: optimized geometry

Properties
space group = Pmc2_1, No. 26
total magnetic moment = 0.000 μB per atom
energy relative to the lowest polymorph listed for this composition = 0.1845 eV/atom

The structure in POSCAR format:
```
LiLuTeO
1.0
3.921 0.000 0.000
0.000 6.575 0.000
0.000 0.000 6.648
Li Lu Te O
2 2 2 2
Direct
0.000 0.180 0.000 Li
0.000 0.820 0.500 Li
0.500 0.487 0.277 Lu
0.500 0.513 0.777 Lu
0.000 0.244 0.534 Te
0.000 0.756 0.034 Te
0.500 0.301 0.018 O
0.500 0.699 0.518 O
```

***

Entry 3:
Material: LiLuOs
Method: DFT, PBE
State: optimized geometry

Properties
space group = F-43m, No. 216
calculated total energy = -5.373 eV/atom
total magnetic moment = 0.038 μB per atom

The structure in POSCAR format:
```
LiLuOs
1.0
0.000 2.984 2.984
2.984 0.000 2.984
2.984 2.984 0.000
Li Lu Os
1 1 1
Direct
0.000 0.000 0.000 Li
0.750 0.750 0.750 Lu
0.250 0.250 0.250 Os
```

***

Entry 4:
Material: LiLuOsW
Method: DFT, PBE
State: optimized geometry

Properties
space group = F-43m, No. 216
total magnetic moment = 0.000 μB per atom
energy relative to the lowest polymorph listed for this composition = 0.0000 eV/atom

The structure in POSCAR format:
```
LiLuOsW
1.0
0.000 3.212 3.212
3.212 0.000 3.212
3.212 3.212 0.000
Li Lu Os W
1 1 1 1
Direct
0.000 0.000 0.000 Li
0.750 0.750 0.750 Lu
0.500 0.500 0.500 Os
0.250 0.250 0.250 W
```

***

Entry 5:
Material: LiLuOsW
Method: DFT, PBE
State: optimized geometry

Properties
space group = F-43m, No. 216
total magnetic moment = 0.000 μB per atom
energy relative to the lowest polymorph listed for this composition = 0.0674 eV/atom

The structure in POSCAR format:
```
LiLuOsW
1.0
0.000 3.186 3.186
3.186 0.000 3.186
3.186 3.186 0.000
Li Lu Os W
1 1 1 1
Direct
0.000 0.000 0.000 Li
0.250 0.250 0.250 Lu
0.750 0.750 0.750 Os
0.500 0.500 0.500 W
```

***

Entry 6:
Material: LiLu3P
Method: DFT, PBE
State: optimized geometry

Properties
space group = Pm-3m, No. 221
calculated total energy = -4.458 eV/atom
total magnetic moment = 0.220 μB per atom

The structure in POSCAR format:
```
LiLu3P
1.0
5.207 0.000 0.000
0.000 5.207 0.000
0.000 0.000 5.207
Li Lu P
1 3 1
Direct
0.000 0.000 0.000 Li
0.000 0.500 0.500 Lu
0.500 0.000 0.500 Lu
0.500 0.500 0.000 Lu
0.500 0.500 0.500 P
```

***

Entry 7:
Material: LiLuPb2
Method: DFT, PBE
State: optimized geometry

Properties
space group = F-43m, No. 216
calculated total energy = -3.515 eV/atom
total magnetic moment = 0.001 μB per atom

The structure in POSCAR format:
```
LiLuPb2
1.0
0.000 3.790 3.790
3.790 0.000 3.790
3.790 3.790 0.000
Li Lu Pb
1 1 2
Direct
0.000 0.000 0.000 Li
0.250 0.250 0.250 Lu
0.500 0.500 0.500 Pb
0.750 0.750 0.750 Pb
```

***

Entry 8:
Material: LiLuPdPb
Method: DFT, PBE
State: optimized geometry

Properties
space group = F-43m, No. 216
total magnetic moment = 0.000 μB per atom
energy relative to the lowest polymorph listed for this composition = 0.1254 eV/atom

The structure in POSCAR format:
```
LiLuPdPb
1.0
0.000 3.456 3.456
3.456 0.000 3.456
3.456 3.456 0.000
Li Lu Pd Pb
1 1 1 1
Direct
0.000 0.000 0.000 Li
0.500 0.500 0.500 Lu
0.750 0.750 0.750 Pd
0.250 0.250 0.250 Pb
```

***

Entry 9:
Material: LiLuPdPb
Method: DFT, PBE
State: optimized geometry

Properties
space group = F-43m, No. 216
total magnetic moment = 0.000 μB per atom
energy relative to the lowest polymorph listed for this composition = 0.2004 eV/atom

The structure in POSCAR format:
```
LiLuPdPb
1.0
0.000 3.415 3.415
3.415 0.000 3.415
3.415 3.415 0.000
Li Lu Pd Pb
1 1 1 1
Direct
0.000 0.000 0.000 Li
0.250 0.250 0.250 Lu
0.750 0.750 0.750 Pd
0.500 0.500 0.500 Pb
```

***

Entry 10:
Material: LiLuPdPb
Method: DFT, PBE
State: optimized geometry

Properties
space group = F-43m, No. 216
total magnetic moment = 0.000 μB per atom
energy relative to the lowest polymorph listed for this composition = 0.0000 eV/atom

The structure in POSCAR format:
```
LiLuPdPb
1.0
0.000 3.377 3.377
3.377 0.000 3.377
3.377 3.377 0.000
Li Lu Pd Pb
1 1 1 1
Direct
0.000 0.000 0.000 Li
0.750 0.750 0.750 Lu
0.500 0.500 0.500 Pd
0.250 0.250 0.250 Pb
```

***

Entry 11:
Material: LiLuPtPb
Method: DFT, PBE
State: optimized geometry

Properties
space group = F-43m, No. 216
total magnetic moment = 0.000 μB per atom
energy relative to the lowest polymorph listed for this composition = 0.1441 eV/atom

The structure in POSCAR format:
```
LiLuPtPb
1.0
0.000 3.438 3.438
3.438 0.000 3.438
3.438 3.438 0.000
Li Lu Pt Pb
1 1 1 1
Direct
0.000 0.000 0.000 Li
0.500 0.500 0.500 Lu
0.250 0.250 0.250 Pt
0.750 0.750 0.750 Pb
```

***

Entry 12:
Material: LiLuPtPb
Method: DFT, PBE
State: optimized geometry

Properties
space group = F-43m, No. 216
total magnetic moment = 0.000 μB per atom
energy relative to the lowest polymorph listed for this composition = 0.2771 eV/atom

The structure in POSCAR format:
```
LiLuPtPb
1.0
0.000 3.394 3.394
3.394 0.000 3.394
3.394 3.394 0.000
Li Lu Pt Pb
1 1 1 1
Direct
0.000 0.000 0.000 Li
0.750 0.750 0.750 Lu
0.250 0.250 0.250 Pt
0.500 0.500 0.500 Pb
```

***

Entry 13:
Material: LiLuPtPb
Method: DFT, PBE
State: optimized geometry

Properties
space group = F-43m, No. 216
total magnetic moment = 0.000 μB per atom
energy relative to the lowest polymorph listed for this composition = 0.0000 eV/atom

The structure in POSCAR format:
```
LiLuPtPb
1.0
0.000 3.377 3.377
3.377 0.000 3.377
3.377 3.377 0.000
Li Lu Pt Pb
1 1 1 1
Direct
0.000 0.000 0.000 Li
0.250 0.250 0.250 Lu
0.500 0.500 0.500 Pt
0.750 0.750 0.750 Pb
```

***

Entry 14:
Material: LiLuTe3Pb
Method: DFT, PBE
State: optimized geometry

Properties
space group = Cmcm, No. 63
total magnetic moment = 0.000 μB per atom
energy relative to the lowest polymorph listed for this composition = 0.0168 eV/atom

The structure in POSCAR format:
```
LiLuTe3Pb
1.0
2.179 -7.235 0.000
2.179 7.235 0.000
0.000 0.000 11.209
Li Lu Te Pb
2 2 6 2
Direct
0.027 0.973 0.750 Li
0.973 0.027 0.250 Li
0.500 0.500 0.000 Lu
0.500 0.500 0.500 Lu
0.140 0.860 0.558 Te
0.140 0.860 0.942 Te
0.415 0.585 0.750 Te
0.585 0.415 0.250 Te
0.860 0.140 0.058 Te
0.860 0.140 0.442 Te
0.257 0.743 0.250 Pb
0.743 0.257 0.750 Pb
```

***

Entry 15:
Material: LiLuTe3Pb
Method: DFT, PBE
State: optimized geometry

Properties
space group = P2_1/m, No. 11
total magnetic moment = 0.001 μB per atom
energy relative to the lowest polymorph listed for this composition = 0.0238 eV/atom

The structure in POSCAR format:
```
LiLuTe3Pb
1.0
8.194 0.000 0.000
0.000 4.343 0.000
-2.944 0.000 10.286
Li Lu Te Pb
2 2 6 2
Direct
0.083 0.250 0.089 Li
0.917 0.750 0.911 Li
0.306 0.750 0.338 Lu
0.694 0.250 0.662 Lu
0.052 0.250 0.336 Te
0.273 0.750 0.045 Te
0.425 0.750 0.635 Te
0.575 0.250 0.365 Te
0.727 0.250 0.955 Te
0.948 0.750 0.664 Te
0.264 0.250 0.804 Pb
0.736 0.750 0.196 Pb
```

***

Entry 16:
Material: LiLuTe3Pb
Method: DFT, PBE
State: optimized geometry

Properties
space group = C2/m, No. 12
total magnetic moment = 0.000 μB per atom
energy relative to the lowest polymorph listed for this composition = 0.0000 eV/atom

The structure in POSCAR format:
```
LiLuTe3Pb
1.0
9.433 -2.161 0.000
9.433 2.161 0.000
-2.163 0.000 8.962
Li Lu Te Pb
2 2 6 2
Direct
0.007 0.007 0.199 Li
0.993 0.993 0.801 Li
0.335 0.335 0.915 Lu
0.665 0.665 0.085 Lu
0.000 0.000 0.500 Te
0.170 0.170 0.855 Te
0.178 0.178 0.320 Te
0.500 0.500 0.000 Te
0.822 0.822 0.680 Te
0.830 0.830 0.145 Te
0.366 0.366 0.436 Pb
0.634 0.634 0.564 Pb
```

***

Entry 17:
Material: LiLuTe3Pb
Method: DFT, PBE
State: optimized geometry

Properties
space group = Pnma, No. 62
total magnetic moment = 0.001 μB per atom
energy relative to the lowest polymorph listed for this composition = 0.0168 eV/atom

The structure in POSCAR format:
```
LiLuTe3Pb
1.0
14.529 0.000 0.000
0.000 4.353 0.000
0.000 0.000 11.520
Li Lu Te Pb
4 4 12 4
Direct
0.008 0.250 0.088 Li
0.492 0.750 0.588 Li
0.508 0.250 0.412 Li
0.992 0.750 0.912 Li
0.013 0.750 0.330 Lu
0.487 0.250 0.830 Lu
0.513 0.750 0.170 Lu
0.987 0.250 0.670 Lu
0.108 0.250 0.883 Te
0.109 0.750 0.564 Te
0.146 0.250 0.254 Te
0.354 0.750 0.754 Te
0.391 0.250 0.064 Te
0.392 0.750 0.383 Te
0.608 0.250 0.617 Te
0.609 0.750 0.936 Te
0.646 0.250 0.246 Te
0.854 0.750 0.746 Te
0.891 0.250 0.436 Te
0.892 0.750 0.117 Te
0.220 0.750 0.044 Pb
0.280 0.250 0.544 Pb
0.720 0.750 0.456 Pb
0.780 0.250 0.956 Pb
```

***

Entry 18:
Material: Li2LuPd
Method: DFT, PBE
State: optimized geometry

Properties
space group = F-43m, No. 216
calculated total energy = -3.738 eV/atom
total magnetic moment = 0.000 μB per atom

The structure in POSCAR format:
```
Li2LuPd
1.0
0.000 3.296 3.296
3.296 0.000 3.296
3.296 3.296 0.000
Li Lu Pd
2 1 1
Direct
0.000 0.000 0.000 Li
0.250 0.250 0.250 Li
0.750 0.750 0.750 Lu
0.500 0.500 0.500 Pd
```

***

Entry 19:
Material: LiLu2Pd
Method: DFT, PBE
State: optimized geometry

Properties
space group = F-43m, No. 216
calculated total energy = -4.196 eV/atom
total magnetic moment = 0.000 μB per atom

The structure in POSCAR format:
```
LiLu2Pd
1.0
0.000 3.409 3.409
3.409 0.000 3.409
3.409 3.409 0.000
Li Lu Pd
1 2 1
Direct
0.000 0.000 0.000 Li
0.500 0.500 0.500 Lu
0.750 0.750 0.750 Lu
0.250 0.250 0.250 Pd
```

***

Entry 20:
Material: LiLuPd
Method: DFT, PBE
State: optimized geometry

Properties
space group = F-43m, No. 216
total magnetic moment = 0.000 μB per atom
energy relative to the lowest polymorph listed for this composition = 0.0000 eV/atom

The structure in POSCAR format:
```
LiLuPd
1.0
0.000 3.066 3.066
3.066 0.000 3.066
3.066 3.066 0.000
Li Lu Pd
1 1 1
Direct
0.000 0.000 0.000 Li
0.750 0.750 0.750 Lu
0.250 0.250 0.250 Pd
```

***

Entry 21:
Material: LiLuPd
Method: DFT, PBE
State: optimized geometry

Properties
space group = F-43m, No. 216
total magnetic moment = 0.000 μB per atom
energy relative to the lowest polymorph listed for this composition = 0.1460 eV/atom

The structure in POSCAR format:
```
LiLuPd
1.0
0.000 3.222 3.222
3.222 0.000 3.222
3.222 3.222 0.000
Li Lu Pd
1 1 1
Direct
0.000 0.000 0.000 Li
0.250 0.250 0.250 Lu
0.500 0.500 0.500 Pd
```

***

Entry 22:
Material: LiLu2SbPd4
Method: DFT, PBE
State: optimized geometry

Properties
space group = P-3m1, No. 164
calculated total energy = -5.280 eV/atom
total magnetic moment = 0.000 μB per atom

The structure in POSCAR format:
```
LiLu2SbPd4
1.0
4.451 0.000 0.000
-2.225 3.854 0.000
0.000 0.000 8.914
Li Lu Sb Pd
1 2 1 4
Direct
0.000 0.000 0.000 Li
0.333 0.667 0.241 Lu
0.667 0.333 0.759 Lu
0.000 0.000 0.500 Sb
0.333 0.667 0.598 Pd
0.333 0.667 0.919 Pd
0.667 0.333 0.081 Pd
0.667 0.333 0.402 Pd
```

***

Entry 23:
Material: LiLuSiPd
Method: DFT, PBE
State: optimized geometry

Properties
space group = F-43m, No. 216
total magnetic moment = 0.000 μB per atom
energy relative to the lowest polymorph listed for this composition = 0.0880 eV/atom

The structure in POSCAR format:
```
LiLuSiPd
1.0
0.000 3.187 3.187
3.187 0.000 3.187
3.187 3.187 0.000
Li Lu Si Pd
1 1 1 1
Direct
0.000 0.000 0.000 Li
0.750 0.750 0.750 Lu
0.500 0.500 0.500 Si
0.250 0.250 0.250 Pd
```

***

Entry 24:
Material: LiLuSiPd
Method: DFT, PBE
State: optimized geometry

Properties
space group = F-43m, No. 216
total magnetic moment = 0.000 μB per atom
energy relative to the lowest polymorph listed for this composition = 0.0000 eV/atom

The structure in POSCAR format:
```
LiLuSiPd
1.0
0.000 3.177 3.177
3.177 0.000 3.177
3.177 3.177 0.000
Li Lu Si Pd
1 1 1 1
Direct
0.000 0.000 0.000 Li
0.250 0.250 0.250 Lu
0.750 0.750 0.750 Si
0.500 0.500 0.500 Pd
```

***

Entry 25:
Material: LiLuSiPd
Method: DFT, PBE
State: optimized geometry

Properties
space group = F-43m, No. 216
total magnetic moment = 0.000 μB per atom
energy relative to the lowest polymorph listed for this composition = 0.1641 eV/atom

The structure in POSCAR format:
```
LiLuSiPd
1.0
0.000 3.267 3.267
3.267 0.000 3.267
3.267 3.267 0.000
Li Lu Si Pd
1 1 1 1
Direct
0.000 0.000 0.000 Li
0.500 0.500 0.500 Lu
0.750 0.750 0.750 Si
0.250 0.250 0.250 Pd
```

***

Entry 26:
Material: LiLuSnPd
Method: DFT, PBE
State: optimized geometry

Properties
space group = F-43m, No. 216
total magnetic moment = 0.000 μB per atom
energy relative to the lowest polymorph listed for this composition = 0.0000 eV/atom

The structure in POSCAR format:
```
LiLuSnPd
1.0
0.000 3.327 3.327
3.327 0.000 3.327
3.327 3.327 0.000
Li Lu Sn Pd
1 1 1 1
Direct
0.000 0.000 0.000 Li
0.750 0.750 0.750 Lu
0.250 0.250 0.250 Sn
0.500 0.500 0.500 Pd
```

***

Entry 27:
Material: LiLuSnPd
Method: DFT, PBE
State: optimized geometry

Properties
space group = F-43m, No. 216
total magnetic moment = 0.000 μB per atom
energy relative to the lowest polymorph listed for this composition = 0.2015 eV/atom

The structure in POSCAR format:
```
LiLuSnPd
1.0
0.000 3.418 3.418
3.418 0.000 3.418
3.418 3.418 0.000
Li Lu Sn Pd
1 1 1 1
Direct
0.000 0.000 0.000 Li
0.500 0.500 0.500 Lu
0.750 0.750 0.750 Sn
0.250 0.250 0.250 Pd
```